[1]
## MgBiSe2N (GGA-PBE)

Data for a relaxed structure of MgBiSe2N.

Output
Density of states at the Fermi level: 0.8016 states/eV/atom
Volume: 140 Å³ per cell
Formation energy from raw total energies: 1174 meV/atom
Final energy: -14.90 eV/f.u.

Geometry as CIF:
```
data_MgBiSe2N
_cell_length_a 4.896
_cell_length_b 4.896
_cell_length_c 5.857
_cell_angle_alpha 90.00
_cell_angle_beta 90.00
_cell_angle_gamma 90.00
_space_group_name_H-M_alt 'P 4/m m m'
_space_group_IT_number 123
_space_group_name_Hall '-P 4 2'
loop_
_atom_site_label
_atom_site_fract_x
_atom_site_fract_y
_atom_site_fract_z
Mg1 0.000 0.000 0.000
Bi1 0.000 0.000 0.500
Se1 0.000 0.500 0.000
N1 0.500 0.500 0.500
```



[2]
## BaMn2Ir (GGA-PBE)

Data for a relaxed structure of BaMn2Ir.

Output
Density of states at the Fermi level: 0.9261 states/eV/atom
Volume: 254 Å³ per cell
Final energy: -25.93 eV/f.u.
Formation enthalpy at 0 K: 797 meV/atom

Geometry as CIF:
```
data_BaMn2Ir
_cell_length_a 3.1403
_cell_length_b 3.1403
_cell_length_c 29.7970
_cell_angle_alpha 90.00
_cell_angle_beta 90.00
_cell_angle_gamma 120.00
_space_group_name_H-M_alt 'R -3 m'
_space_group_IT_number 166
_space_group_name_Hall '-R 3 2"'
loop_
_atom_site_label
_atom_site_fract_x
_atom_site_fract_y
_atom_site_fract_z
Ba1 0.0000 0.0000 0.0000
Mn1 0.0000 0.0000 0.2312
Ir1 0.0000 0.0000 0.5000
```



[3]
## GdYAlSn (GGA-PBE)

Data for a relaxed structure of GdYAlSn.

Output
Density of states at the Fermi level: 0.6237 states/eV/atom
Volume: 411 Å³ per cell
Final energy: -30.18 eV/f.u.
Formation enthalpy at 0 K: -472 meV/atom

Geometry as CIF:
```
data_GdYAlSn
_cell_length_a 7.438
_cell_length_b 7.438
_cell_length_c 7.438
_cell_angle_alpha 90.00
_cell_angle_beta 90.00
_cell_angle_gamma 90.00
_space_group_name_H-M_alt 'F -4 3 m'
_space_group_IT_number 216
_space_group_name_Hall 'F -4 2 3'
loop_
_atom_site_label
_atom_site_fract_x
_atom_site_fract_y
_atom_site_fract_z
Gd1 0.000 0.000 0.000
Y1 0.000 0.000 0.500
Al1 0.250 0.250 0.750
Sn1 0.250 0.250 0.250
```



[4]
## La2PrSi6 (GGA-PBE)

Data for a relaxed structure of La2PrSi6.

Output
Density of states at the Fermi level: 0.8160 states/eV/atom
Volume: 192 Å³ per cell
Formation energy from raw total energies: -622 meV/atom
Final energy: -52.77 eV/f.u.

Geometry as CIF:
```
data_La2PrSi6
_cell_length_a 7.1885
_cell_length_b 7.1885
_cell_length_c 4.3003
_cell_angle_alpha 90.00
_cell_angle_beta 90.00
_cell_angle_gamma 120.00
_space_group_name_H-M_alt 'P 6/m m m'
_space_group_IT_number 191
_space_group_name_Hall '-P 6 2'
loop_
_atom_site_label
_atom_site_fract_x
_atom_site_fract_y
_atom_site_fract_z
La1 0.3333 0.6667 0.0000
Pr1 0.0000 0.0000 0.0000
Si1 0.0000 0.3323 0.5000
```



Q: What is the density of states at the Fermi level in the third record?
A: 0.6237 states/eV/atom